(1)
YTaCr2 PBE optimized geometry; energy of formation = 0.45 eV per atom; V = 75.4 Å³/f.u.; D(E_F) = 1.20 states/eV per atom; distance to the lowest polymorph of the same formula = 0.142 eV/atom
1.0
4.094 0.000 0.000
0.000 3.037 0.008
0.000 1.268 6.066
Cr Y Ta
2 1 1
Cartesian
0.000 2.292 2.506 Cr
0.000 2.897 0.539 Cr
2.047 3.229 4.555 Y
2.047 1.076 1.518 Ta

(2)
RbBr3 PBE optimized geometry; energy relative to the elements, uncorrected = -590 meV per atom; V = 166.2 Å³/f.u.; D(E_F) = 1.72 states/eV per atom
1.0
4.453 0.000 0.000
0.000 4.453 0.000
-2.227 -2.227 8.379
Br Rb
3 1
Cartesian
2.227 2.227 0.000 Br
0.000 0.000 4.169 Br
2.227 2.227 4.210 Br
0.000 0.000 0.000 Rb

(3)
AlCdIr2 PBE optimized geometry; energy of formation = 0.29 eV per atom; V = 73.9 Å³/f.u.; D(E_F) = 0.61 states/eV per atom
1.0
4.098 0.000 0.000
0.000 4.098 0.000
2.049 2.049 8.800
Ir Cd Al
4 2 2
Cartesian
1.312 3.074 2.200 Ir
3.074 3.361 6.600 Ir
2.786 1.025 2.200 Ir
5.123 4.835 6.600 Ir
4.098 2.049 4.400 Cd
0.000 0.000 0.000 Cd
2.049 2.049 0.000 Al
2.049 4.098 4.400 Al

(4)
CsIn2Os PBE optimized geometry; energy of formation = 1.17 eV per atom; V = 104.6 Å³/f.u.; D(E_F) = 1.39 states/eV per atom; distance to the lowest polymorph of the same formula = 0.618 eV/atom
1.0
4.167 -0.657 3.191
0.841 3.380 3.981
-0.719 -1.570 4.999
Os In Cs
1 2 1
Cartesian
2.145 0.576 6.085 Os
3.217 0.865 9.128 In
1.072 0.288 3.043 In
0.000 0.000 0.000 Cs

(5)
Sr2Li3SbAu12 PBE optimized geometry; energy relative to the elements, uncorrected = -314 meV per atom; V = 403.5 Å³/f.u.; D(E_F) = 0.28 states/eV per atom
1.0
10.210 1.930 1.369
6.721 7.925 1.369
6.721 3.912 7.027
Au Sr Li Sb
12 2 3 1
Cartesian
11.310 6.583 2.921 Au
9.875 7.398 5.247 Au
5.863 5.261 1.773 Au
5.863 3.413 4.379 Au
12.342 7.184 6.844 Au
16.182 11.267 7.992 Au
7.470 2.500 1.773 Au
17.788 10.354 5.386 Au
17.788 8.506 7.992 Au
12.342 8.834 4.518 Au
11.310 4.933 5.247 Au
13.777 6.369 4.518 Au
15.104 8.792 6.236 Sr
8.547 4.975 3.529 Sr
3.360 3.962 0.685 Li
5.105 0.965 0.685 Li
3.360 1.956 3.513 Li
0.000 0.000 0.000 Sb

(6)
B2Ir2N PBE optimized geometry; energy relative to the elements, uncorrected = 823 meV per atom; V = 53.4 Å³/f.u.; D(E_F) = 0.47 states/eV per atom; distance to the lowest polymorph of the same formula = 0.350 eV/atom
1.0
3.897 0.000 0.000
0.000 3.897 0.000
1.948 1.948 3.520
Ir N B
2 1 2
Cartesian
3.897 1.948 1.760 Ir
1.948 3.897 1.760 Ir
0.000 0.000 0.000 N
3.897 3.897 2.685 B
1.948 1.948 0.835 B

- Look up the D(E_F) of the third one.
  0.61 states/eV per atom

- Which value of V does entry 1 give?
  75.4 Å³/f.u.

- V of number 4 (CsIn2Os)?
  104.6 Å³/f.u.